# 1
Here is a relaxed ReTe3Ir crystal from Alexandria via LeMat-Bulk. Energies are from PBE.

## Properties
* D(E_F): 1.516 states/eV/atom
* electronic total energy: -0.1729 hartree per atom
* uncorrected formation energy: 1.44 eV/atom
* space-group type: Pm-3m

Lattice parameters (Å, degrees): 5.1201 5.1201 5.1201 90.00 90.00 90.00
Sites, in units of the cell vectors:
Re (0.0000, 0.0000, 0.0000)
Ir (0.5000, 0.5000, 0.5000)
Te (0.0000, 0.5000, 0.0000)
Te (0.0000, 0.0000, 0.5000)
Te (0.5000, 0.0000, 0.0000)

=====

# 2
Here is a relaxed ReTeIr2 crystal from Alexandria via LeMat-Bulk. Energies are from PBE.

## Properties
* D(E_F): 1.012 states/eV/atom
* electronic total energy: -0.2820 hartree per atom
* uncorrected formation energy: 0.66 eV/atom
* space-group type: F-43m

Lattice parameters (Å, degrees): 4.5343 4.5343 4.5343 60.00 60.00 60.00
Sites, in units of the cell vectors:
Ir (0.0000, 0.0000, 0.0000)
Ir (0.2500, 0.2500, 0.2500)
Re (0.5000, 0.5000, 0.5000)
Te (0.7500, 0.7500, 0.7500)

=====

Q: What is the electronic total energy in the first record?
A: -0.1729 hartree per atom

=====

Q: The lowest electronic total energy belongs to which entry?
A: ReTeIr2

=====

Please write out number 1 again, unchanged.
Here is a relaxed ReTe3Ir crystal from Alexandria via LeMat-Bulk. Energies are from PBE.

## Properties
* D(E_F): 1.516 states/eV/atom
* electronic total energy: -0.1729 hartree per atom
* uncorrected formation energy: 1.44 eV/atom
* space-group type: Pm-3m

Lattice parameters (Å, degrees): 5.1201 5.1201 5.1201 90.00 90.00 90.00
Sites, in units of the cell vectors:
Re (0.0000, 0.0000, 0.0000)
Ir (0.5000, 0.5000, 0.5000)
Te (0.0000, 0.5000, 0.0000)
Te (0.0000, 0.0000, 0.5000)
Te (0.5000, 0.0000, 0.0000)

=====

Q: Look up the electronic total energy of the first one.
A: -0.1729 hartree per atom